No. 1
Sm2YCd3 | PBE | optimized geometry

Lattice parameters (Å, degrees): 3.791 3.791 11.403 90.00 90.00 90.00
Atoms (fractional coordinates):
Y: 0.500 0.500 0.500
Cd: 0.000 0.000 0.000
Cd: 0.000 0.000 0.660
Sm: 0.500 0.500 0.168
Cd: 0.000 0.000 0.340
Sm: 0.500 0.500 0.832

Calculated values
Crystal system: tetragonal
Energy of formation in eV/atom: -0.327
DOS at the Fermi energy in states/eV per cell: 7.00
Space-group type: P4/mmm

---

No. 2
TaAgO3 | PBE | optimized geometry

Lattice parameters (Å, degrees): 3.810 5.602 7.012 99.60 90.00 109.88
Atoms (fractional coordinates):
O: 0.060 0.119 0.176
Ta: 0.123 0.245 0.888
O: 0.940 0.881 0.824
O: 0.328 0.655 0.052
O: 0.844 0.687 0.362
O: 0.672 0.345 0.948
Ag: 0.620 0.241 0.423
Ag: 0.380 0.759 0.577
Ta: 0.877 0.755 0.112
O: 0.156 0.313 0.638

Calculated values
Crystal system: monoclinic
DOS at the Fermi energy in states/eV per cell: 0.00
ΔE_f (raw) in eV/atom: -1.980
Space-group type: C2/m